--- i ---
Entry from Alexandria via LeMat-Bulk: a geometry-optimized Nb2Ru3Pt2 structure (PBE-GGA).

Summary:
Crystal system: monoclinic
Space-group type: C2/m, No. 12
Volume, Å³/f.u.: 109

Cell lengths 2.816, 6.874, 6.188 Å; angles 110.39, 103.15, 90.00 degrees
Sites, in units of the cell vectors:
Nb 0.578 0.730 0.156
Nb 0.422 0.270 0.844
Ru 0.709 0.129 0.418
Ru 0.291 0.871 0.582
Ru 0.000 0.000 0.000
Pt 0.138 0.423 0.276
Pt 0.862 0.577 0.724


--- ii ---
Entry from Alexandria via LeMat-Bulk: a geometry-optimized Nb2Ru3Pt2 structure (PBE-GGA).

Summary:
Crystal system: orthorhombic
Space-group type: Immm, No. 71
Volume, Å³/f.u.: 111

Cell lengths 2.814, 4.560, 9.063 Å; angles 104.57, 98.93, 90.00 degrees
Sites, in units of the cell vectors:
Pt 0.916 0.916 0.832
Pt 0.084 0.084 0.168
Ru 0.272 0.772 0.544
Ru 0.000 0.500 0.000
Ru 0.728 0.228 0.456
Nb 0.364 0.364 0.728
Nb 0.636 0.636 0.272


Most stable of them? i.


--- i ---
Entry from Alexandria via LeMat-Bulk: a geometry-optimized Nb6Ru5Pt structure (PBE-GGA).

Summary:
Crystal system: triclinic
Space-group type: P-1, No. 2
Volume, Å³/f.u.: 194

Cell lengths 4.676, 6.097, 8.290 Å; angles 111.53, 115.80, 89.85 degrees
Sites, in units of the cell vectors:
Ru 0.362 0.324 0.648
Ru 0.000 0.500 0.000
Ru 0.638 0.676 0.352
Ru 0.627 0.172 0.343
Ru 0.373 0.828 0.657
Pt 0.000 0.000 0.000
Nb 0.116 0.910 0.328
Nb 0.501 0.746 0.000
Nb 0.884 0.090 0.672
Nb 0.884 0.582 0.673
Nb 0.116 0.418 0.327
Nb 0.499 0.254 0.000


--- ii ---
Entry from Alexandria via LeMat-Bulk: a geometry-optimized Nb6Ru5Pt structure (PBE-GGA).

Summary:
Crystal system: orthorhombic
Space-group type: Cmmm, No. 65
Volume, Å³/f.u.: 195

Cell lengths 9.235, 4.432, 5.857 Å; angles 67.77, 79.54, 61.33 degrees
Sites, in units of the cell vectors:
Nb 0.731 0.102 0.334
Nb 0.777 0.723 0.000
Nb 0.731 0.436 0.666
Nb 0.269 0.564 0.334
Nb 0.223 0.277 0.000
Nb 0.269 0.898 0.666
Ru 0.500 0.848 0.304
Ru 0.500 0.500 0.000
Ru 0.500 0.152 0.696
Ru 0.000 0.682 0.635
Ru 0.000 0.318 0.365
Pt 0.000 0.000 0.000


Most stable of them? i.


--- i ---
Entry from Alexandria via LeMat-Bulk: a geometry-optimized Nb2Sb2Pt structure (PBE-GGA).

Summary:
Crystal system: tetragonal
Space-group type: I4/mmm, No. 139
Volume, Å³/f.u.: 109

Cell lengths 4.065, 4.065, 7.184 Å; angles 73.57, 73.57, 90.00 degrees
Sites, in units of the cell vectors:
Sb 0.398 0.398 0.204
Sb 0.602 0.602 0.796
Nb 0.250 0.750 0.500
Nb 0.750 0.250 0.500
Pt 0.000 0.000 0.000


--- ii ---
Entry from Alexandria via LeMat-Bulk: a geometry-optimized Nb2Sb2Pt structure (PBE-GGA).

Summary:
Crystal system: tetragonal
Space-group type: P4/mbm, No. 127
Volume, Å³/f.u.: 101

Cell lengths 7.454, 7.454, 3.628 Å; angles 90.00, 90.00, 90.00 degrees
Sites, in units of the cell vectors:
Sb 0.657 0.157 0.000
Sb 0.157 0.343 0.000
Sb 0.843 0.657 0.000
Sb 0.343 0.843 0.000
Nb 0.639 0.861 0.500
Nb 0.861 0.361 0.500
Nb 0.139 0.639 0.500
Nb 0.361 0.139 0.500
Pt 0.500 0.500 0.000
Pt 0.000 0.000 0.000


Most stable of them? ii.


--- i ---
Entry from Alexandria via LeMat-Bulk: a geometry-optimized NbSb2Pt2 structure (PBE-GGA).

Summary:
Crystal system: tetragonal
Space-group type: I4/mmm, No. 139
Volume, Å³/f.u.: 102

Cell lengths 3.789, 3.789, 7.605 Å; angles 75.57, 75.57, 90.00 degrees
Sites, in units of the cell vectors:
Sb 0.607 0.607 0.786
Sb 0.393 0.393 0.214
Pt 0.250 0.750 0.500
Pt 0.750 0.250 0.500
Nb 0.000 0.000 0.000


--- ii ---
Entry from Alexandria via LeMat-Bulk: a geometry-optimized NbSb2Pt2 structure (PBE-GGA).

Summary:
Crystal system: tetragonal
Space-group type: P4/mbm, No. 127
Volume, Å³/f.u.: 98

Cell lengths 7.564, 7.564, 3.416 Å; angles 90.00, 90.00, 90.00 degrees
Sites, in units of the cell vectors:
Nb 0.000 0.000 0.000
Nb 0.500 0.500 0.000
Pt 0.644 0.856 0.500
Pt 0.144 0.644 0.500
Pt 0.856 0.356 0.500
Pt 0.356 0.144 0.500
Sb 0.844 0.656 0.000
Sb 0.656 0.156 0.000
Sb 0.156 0.344 0.000
Sb 0.344 0.844 0.000


Most stable of them? ii.


--- i ---
Entry from Alexandria via LeMat-Bulk: a geometry-optimized Nb2SbPt2 structure (PBE-GGA).

Summary:
Crystal system: tetragonal
Space-group type: P4/mbm, No. 127
Volume, Å³/f.u.: 93

Cell lengths 7.033, 7.033, 3.776 Å; angles 90.00, 90.00, 90.00 degrees
Sites, in units of the cell vectors:
Nb 0.162 0.662 0.500
Nb 0.338 0.162 0.500
Nb 0.838 0.338 0.500
Nb 0.662 0.838 0.500
Pt 0.868 0.632 0.000
Pt 0.132 0.368 0.000
Pt 0.368 0.868 0.000
Pt 0.632 0.132 0.000
Sb 0.000 0.000 0.000
Sb 0.500 0.500 0.000


--- ii ---
Entry from Alexandria via LeMat-Bulk: a geometry-optimized Nb2SbPt2 structure (PBE-GGA).

Summary:
Crystal system: tetragonal
Space-group type: P4/mbm, No. 127
Volume, Å³/f.u.: 94

Cell lengths 8.017, 8.017, 2.933 Å; angles 90.00, 90.00, 90.00 degrees
Sites, in units of the cell vectors:
Pt 0.875 0.375 0.500
Pt 0.625 0.875 0.500
Pt 0.375 0.125 0.500
Pt 0.125 0.625 0.500
Nb 0.333 0.833 0.000
Nb 0.667 0.167 0.000
Nb 0.833 0.667 0.000
Nb 0.167 0.333 0.000
Sb 0.500 0.500 0.000
Sb 0.000 0.000 0.000


Most stable of them? i.


--- i ---
Entry from Alexandria via LeMat-Bulk: a geometry-optimized NbSb3Pt structure (PBE-GGA).

Summary:
Crystal system: cubic
Space-group type: Pm-3m, No. 221
Volume, Å³/f.u.: 141

Cell lengths 5.200, 5.200, 5.200 Å; angles 90.00, 90.00, 90.00 degrees
Sites, in units of the cell vectors:
Nb 0.500 0.500 0.500
Sb 0.000 0.000 0.500
Sb 0.000 0.500 0.000
Sb 0.500 0.000 0.000
Pt 0.000 0.000 0.000


--- ii ---
Entry from Alexandria via LeMat-Bulk: a geometry-optimized NbSb3Pt structure (PBE-GGA).

Summary:
Crystal system: cubic
Space-group type: Pm-3m, No. 221
Volume, Å³/f.u.: 145

Cell lengths 5.256, 5.256, 5.256 Å; angles 90.00, 90.00, 90.00 degrees
Sites, in units of the cell vectors:
Sb 0.000 0.500 0.000
Sb 0.000 0.000 0.500
Sb 0.500 0.000 0.000
Pt 0.500 0.500 0.500
Nb 0.000 0.000 0.000


Most stable of them? ii.